Entry 1:
This record from the Open Quantum Materials Database describes a relaxed InCuNiHg crystal. The functional is PBE.

Cell lengths 6.377, 6.377, 6.377 Å; angles 90.00, 90.00, 90.00 degrees
Space group F-43m (No. 216)
Symmetry-distinct sites (fractional):
In1 0.000 0.000 0.000
Cu1 0.250 0.250 0.250
Ni1 0.250 0.250 0.750
Hg1 0.000 0.000 0.500

Calculated values
**Energy above the most stable polymorph in this dataset**: 0 meV per atom
**VASP energy**: -2.99 eV per atom

***

Entry 2:
This record from the Open Quantum Materials Database describes a relaxed BeFeSi crystal. The functional is PBE.

Cell lengths 5.226, 5.226, 5.226 Å; angles 90.00, 90.00, 90.00 degrees
Space group F-43m (No. 216)
Symmetry-distinct sites (fractional):
Be1 0.000 0.000 0.000
Fe1 0.250 0.250 0.250
Si1 0.000 0.000 0.500

Calculated values
**VASP energy**: -5.80 eV per atom

***

Entry 3:
This record from the Open Quantum Materials Database describes a relaxed HfZnCuOs crystal. The functional is PBE.

Cell lengths 6.293, 6.293, 6.293 Å; angles 90.00, 90.00, 90.00 degrees
Space group F-43m (No. 216)
Symmetry-distinct sites (fractional):
Hf1 0.000 0.000 0.000
Zn1 0.250 0.250 0.250
Cu1 0.000 0.000 0.500
Os1 0.250 0.250 0.750

Calculated values
**Energy above the most stable polymorph in this dataset**: 160 meV per atom
**VASP energy**: -6.51 eV per atom
**Calculated formation energy**: 32 meV per atom

***

Entry 4:
This record from the Open Quantum Materials Database describes a relaxed PrGdZn6Ge3 crystal. The functional is PBE.

Cell lengths 7.6578, 7.6578, 4.0802 Å; angles 90.00, 90.00, 120.00 degrees
Space group P-6 (No. 174)
Symmetry-distinct sites (fractional):
Pr1 0.0000 0.0000 0.0000
Gd1 0.6667 0.3333 0.0000
Zn1 0.0459 0.6672 0.5000
Zn2 0.1418 0.4788 0.0000
Ge1 0.3391 0.0541 0.5000

Calculated values
**VASP energy**: -3.22 eV per atom